Material: CeMg6Hg12
Method: DFT, PBE
State: relaxed

The calculation puts the energy of formation from the pure elements at -0.106 eV per atom.

The structure belongs to space group R-3m (No. 166, hexagonal axes); the cell edges are 13.2529, 13.2529 and 9.3473 Å and the angles 90.00°, 90.00° and 120.00°. The asymmetric unit holds Ce at (0.0000, 0.0000, 0.0000), Mg at (0.0601, 0.5300, 0.2356), Hg at (0.0000, 0.3858, 0.5000) and Hg at (0.0813, 0.1627, 0.2893).